(1)
Here is a relaxed CrSiP2 crystal from Alexandria via LeMat-Bulk. Energies are from PBE.

Properties
- energy relative to the elements, uncorrected (eV/atom) = -0.05

Cell lengths 5.5823, 5.5823, 6.3586 Å; angles 63.96, 63.96, 90.00 degrees
Closest atoms and distances in Å follow each position.
Element x y z (fractional)
Cr 0.0000 0.0000 0.0000  4 P 2.41
Cr 0.7500 0.2500 0.5000  4 P 2.41
Si 0.5000 0.5000 0.0000  4 P 2.27
Si 0.2500 0.7500 0.5000  4 P 2.27
P 0.6042 0.1250 0.2500  2 Si 2.27, 2 Cr 2.41
P 0.1458 0.6250 0.2500  2 Si 2.27, 2 Cr 2.41
P 0.3750 0.3958 0.7500  2 Si 2.27, 2 Cr 2.41
P 0.8750 0.8542 0.7500  2 Si 2.27, 2 Cr 2.41

(2)
Here is a relaxed NdGaSb crystal from Alexandria via LeMat-Bulk. Energies are from PBE.

Properties
- energy relative to the elements, uncorrected (eV/atom) = -0.51

Cell lengths 4.4097, 7.0663, 12.0317 Å; angles 90.00, 90.00, 90.00 degrees
Closest atoms and distances in Å follow each position.
Element x y z (fractional)
Ga 0.7500 0.5164 0.0624  2 Ga 2.68, 1 Sb 2.73
Ga 0.7500 0.9836 0.5624  2 Ga 2.68, 1 Sb 2.73
Ga 0.2500 0.0164 0.4376  2 Ga 2.68, 1 Sb 2.73
Ga 0.2500 0.4836 0.9376  2 Ga 2.68, 1 Sb 2.73
Sb 0.7500 0.3527 0.6288  1 Ga 2.73
Sb 0.7500 0.1473 0.1288  1 Ga 2.73
Sb 0.2500 0.8527 0.8712  1 Ga 2.73
Sb 0.2500 0.6473 0.3712  1 Ga 2.73
Nd 0.7500 0.3362 0.3641  4 Sb 3.11-3.19, 3 Ga 3.28-3.45
Nd 0.7500 0.1638 0.8641  4 Sb 3.11-3.19, 3 Ga 3.28-3.45
Nd 0.2500 0.8362 0.1359  4 Sb 3.11-3.19, 3 Ga 3.28-3.45
Nd 0.2500 0.6638 0.6359  4 Sb 3.11-3.19, 3 Ga 3.28-3.45

(3)
Here is a relaxed PmNd2SmY5 crystal from Alexandria via LeMat-Bulk. Energies are from PBE.

Properties
- ΔE_f (eV/atom) = 0.24

Cell lengths 8.7500, 8.7500, 9.9932 Å; angles 115.96, 115.96, 90.00 degrees
Closest atoms and distances in Å follow each position.
Element x y z (fractional)
Pm 0.2500 0.2500 0.5000  10 Y 3.60-3.92
Pm 0.7500 0.7500 0.5000  10 Y 3.60-3.92
Nd 0.1173 0.3827 0.0000  1 Nd 2.90, 2 Y 3.05
Nd 0.6173 0.1173 0.0000  1 Nd 2.90, 2 Y 3.05
Nd 0.3827 0.8827 0.0000  1 Nd 2.90, 2 Y 3.05
Nd 0.8827 0.6173 0.0000  1 Nd 2.90, 2 Y 3.05
Sm 0.2500 0.7500 0.5000  4 Y 3.13
Sm 0.7500 0.2500 0.5000  4 Y 3.13
Y 0.9288 0.4288 0.2750  1 Nd 3.05, 1 Sm 3.13
Y 0.6538 0.1538 0.7250  1 Nd 3.05, 1 Sm 3.13
Y 0.0712 0.5712 0.7250  1 Nd 3.05, 1 Sm 3.13
Y 0.1538 0.0712 0.7250  1 Nd 3.05, 1 Sm 3.13
Y 0.5712 0.6538 0.7250  1 Nd 3.05, 1 Sm 3.13
Y 0.8462 0.9288 0.2750  1 Nd 3.05, 1 Sm 3.13
Y 0.4288 0.3462 0.2750  1 Nd 3.05, 1 Sm 3.13
Y 0.3462 0.8462 0.2750  1 Nd 3.05, 1 Sm 3.13
Y 0.5000 0.5000 0.0000  4 Nd 3.50, 8 Y 3.81
Y 0.0000 0.0000 0.0000  4 Nd 3.50, 8 Y 3.81

(4)
Here is a relaxed Pr6NdHo3 crystal from Alexandria via LeMat-Bulk. Energies are from PBE.

Properties
- ΔE_f (eV/atom) = 0.14

Cell lengths 6.4371, 11.1828, 11.1828 Å; angles 120.64, 90.00, 90.00 degrees
Closest atoms and distances in Å follow each position.
Element x y z (fractional)
Pr 0.0505 0.7085 0.6294  4 Ho 3.50-3.81, 5 Pr 3.55-3.85
Pr 0.5505 0.6294 0.7085  4 Ho 3.50-3.81, 5 Pr 3.55-3.85
Pr 0.3718 0.5249 0.9418  1 Pr 3.15, 1 Nd 3.33, 2 Ho 3.35-3.52
Pr 0.8718 0.9418 0.5249  1 Pr 3.15, 1 Nd 3.33, 2 Ho 3.35-3.52
Pr 0.3667 0.9649 0.0351  1 Nd 3.43, 2 Pr 3.50, 4 Ho 3.57-3.60
Pr 0.6510 0.2819 0.7181  2 Pr 3.15, 1 Nd 3.41, 1 Ho 3.45
Pr 0.1510 0.7181 0.2819  2 Pr 3.15, 1 Nd 3.41, 1 Ho 3.45
Pr 0.8667 0.0351 0.9649  1 Nd 3.43, 2 Pr 3.50, 4 Ho 3.57-3.60
Pr 0.3718 0.0582 0.4751  1 Pr 3.15, 1 Nd 3.33, 2 Ho 3.35-3.52
Pr 0.8718 0.4751 0.0582  1 Pr 3.15, 1 Nd 3.33, 2 Ho 3.35-3.52
Pr 0.0505 0.3706 0.2915  4 Ho 3.50-3.81, 5 Pr 3.55-3.85
Pr 0.5505 0.2915 0.3706  4 Ho 3.50-3.81, 5 Pr 3.55-3.85
Nd 0.1078 0.1927 0.8073  6 Pr 3.33-3.64, 3 Ho 3.34-3.71
Nd 0.6078 0.8073 0.1927  6 Pr 3.33-3.64, 3 Ho 3.34-3.71
Ho 0.4623 0.9422 0.7096  1 Nd 3.34, 6 Pr 3.35-3.60, 1 Ho 3.70
Ho 0.9623 0.7096 0.9422  1 Nd 3.34, 6 Pr 3.35-3.60, 1 Ho 3.70
Ho 0.0905 0.3833 0.6167  7 Pr 3.45-3.81, 2 Ho 3.70, 1 Nd 3.71
Ho 0.5905 0.6167 0.3833  7 Pr 3.45-3.81, 2 Ho 3.70, 1 Nd 3.71
Ho 0.9623 0.0578 0.2904  1 Nd 3.34, 6 Pr 3.35-3.60, 1 Ho 3.70
Ho 0.4623 0.2904 0.0578  1 Nd 3.34, 6 Pr 3.35-3.60, 1 Ho 3.70

(5)
Here is a relaxed LaDyEr2 crystal from Alexandria via LeMat-Bulk. Energies are from PBE.

Properties
- ΔE_f (eV/atom) = 0.30

Cell lengths 3.3471, 8.9790, 9.1140 Å; angles 90.00, 100.58, 90.00 degrees
Closest atoms and distances in Å follow each position.
Element x y z (fractional)
La 0.9666 0.2500 0.9332  2 La 3.35, 4 Er 3.38-3.52, 2 Dy 3.49
La 0.0334 0.7500 0.0668  2 La 3.35, 4 Er 3.38-3.52, 2 Dy 3.49
Dy 0.7040 0.7500 0.4080  6 Er 3.28-3.47, 2 Dy 3.35, 2 La 3.49
Dy 0.2960 0.2500 0.5920  6 Er 3.28-3.47, 2 Dy 3.35, 2 La 3.49
Er 0.1391 0.4377 0.2783  3 Dy 3.28-3.47, 3 Er 3.35-3.37, 2 La 3.38-3.52
Er 0.8609 0.5623 0.7217  3 Dy 3.28-3.47, 3 Er 3.35-3.37, 2 La 3.38-3.52
Er 0.1391 0.0623 0.2783  3 Dy 3.28-3.47, 3 Er 3.35-3.37, 2 La 3.38-3.52
Er 0.8609 0.9377 0.7217  3 Dy 3.28-3.47, 3 Er 3.35-3.37, 2 La 3.38-3.52

(6)
Here is a relaxed Hg2PdC2 crystal from Alexandria via LeMat-Bulk. Energies are from PBE.

Properties
- ΔE_f (eV/atom) = 1.57

Cell lengths 2.7237, 2.7237, 10.1092 Å; angles 82.26, 82.26, 90.00 degrees
Closest atoms and distances in Å follow each position.
Element x y z (fractional)
C 0.7500 0.2500 0.5000  4 C 1.93
C 0.2500 0.7500 0.5000  4 C 1.93
Hg 0.3867 0.3867 0.2265  4 Hg 2.72, 4 Pd 2.96, 4 C 3.04
Hg 0.6133 0.6133 0.7735  4 Hg 2.72, 4 Pd 2.96, 4 C 3.04
Pd 0.0000 0.0000 0.0000  4 Pd 2.72, 8 Hg 2.96

(7)
Here is a relaxed AcMoN3 crystal from Alexandria via LeMat-Bulk. Energies are from PBE.

Properties
- energy relative to the elements, uncorrected (eV/atom) = -0.80

Cell lengths 4.0603, 4.0603, 4.0603 Å; angles 90.00, 90.00, 90.00 degrees
Closest atoms and distances in Å follow each position.
Element x y z (fractional)
Ac 0.5000 0.5000 0.5000  12 N 2.87
Mo 0.0000 0.0000 0.0000  6 N 2.03
N 0.0000 0.5000 0.0000  2 Mo 2.03
N 0.0000 0.0000 0.5000  2 Mo 2.03
N 0.5000 0.0000 0.0000  2 Mo 2.03

(8)
Here is a relaxed VCrOs crystal from Alexandria via LeMat-Bulk. Energies are from PBE.

Properties
- ΔE_f (eV/atom) = -0.14

Cell lengths 2.9562, 2.9562, 4.9444 Å; angles 107.39, 107.39, 90.00 degrees
Closest atoms and distances in Å follow each position.
Element x y z (fractional)
Cr 0.2757 0.2757 0.5515  4 V 2.50, 4 Os 2.61
Os 0.9509 0.9509 0.9018  4 V 2.60, 5 Cr 2.61-2.91
V 0.6234 0.6234 0.2467  4 Cr 2.50, 4 Os 2.60

How do the records compare in N(E_F)? In the order shown, they have 0.23 0.41 1.11 1.41 1.32 0.34 0.16 0.85 states/eV per atom.